A relaxed structure of Cs2SrCu, computed with PBE. Values from VASP.

Uncorrected energy in eV per atom: -1.55
E_form in meV/atom: 322
ΔE to the lowest computed polymorph in eV per atom: 0.0000

Cell and atoms, written as Quantum ESPRESSO input:
```
&SYSTEM
  ibrav = 0, nat = 8, ntyp = 3
/
ATOMIC_SPECIES
Cu 63.55 Cu.upf
Cs 132.91 Cs.upf
Sr 87.62 Sr.upf
ATOMIC_POSITIONS crystal
Cu 0.5000 0.5000 0.0000
Cs 0.3750 0.5097 0.7500
Cs 0.8750 0.7403 0.7500
Sr 0.0000 0.0000 0.0000
Cu 0.2500 0.7500 0.5000
Sr 0.7500 0.2500 0.5000
Cs 0.2597 0.6250 0.2500
Cs 0.4903 0.1250 0.2500
CELL_PARAMETERS angstrom
-9.0000 -6.8340 -6.5456
5.2788 -11.1229 4.3548
-3.7578 -8.8926 1.4236
```